Record 1
Here is Mg3Cd4 after structural relaxation from Alexandria via LeMat-Bulk. Energies are from PBE-GGA.

Structure (POSCAR):
```
Mg3Cd4
1.0
5.959 0.000 0.000
-2.980 5.161 0.000
0.000 0.000 5.322
Mg Cd
3 4
Cartesian
-1.490 2.580 0.000
2.980 0.000 0.000
1.490 2.580 0.000
0.000 0.000 1.340
0.000 0.000 3.982
0.000 3.441 2.661
2.980 1.720 2.661
```

Results
Formation energy   0.02 eV/atom
Energy relative to the lowest polymorph listed for this composition   0.098 eV/atom
Space-group type   P6/mmm (191)
DOS at the Fermi energy   2.83 states/eV/cell

***

Record 2
Here is Mg4Cd3 after structural relaxation from Alexandria via LeMat-Bulk. Energies are from PBE-GGA.

Structure (POSCAR):
```
Mg4Cd3
1.0
5.712 0.000 0.000
-2.856 4.947 0.000
0.000 0.000 5.656
Mg Cd
4 3
Cartesian
0.000 0.000 1.382
0.000 0.000 4.274
0.000 3.298 0.000
2.856 1.649 0.000
-1.428 2.473 2.828
2.856 0.000 2.828
1.428 2.473 2.828
```

Results
Formation energy   0.00 eV/atom
Energy relative to the lowest polymorph listed for this composition   0.088 eV/atom
Space-group type   P6/mmm (191)
DOS at the Fermi energy   3.91 states/eV/cell

***

Record 3
Here is Mg2Cd after structural relaxation from Alexandria via LeMat-Bulk. Energies are from PBE-GGA.

Structure (POSCAR):
```
Mg2Cd
1.0
0.000 6.492 6.492
6.492 0.000 6.492
6.492 6.492 0.000
Mg Cd
16 8
Cartesian
0.000 0.000 0.000
3.246 3.246 0.000
3.246 0.000 3.246
4.869 4.869 2.331
4.869 2.331 4.869
7.407 4.869 4.869
8.115 8.115 5.578
8.115 5.578 8.115
10.653 8.115 8.115
0.000 3.246 3.246
2.331 4.869 4.869
4.869 7.407 4.869
4.869 4.869 7.407
5.578 8.115 8.115
8.115 10.653 8.115
8.115 8.115 10.653
10.155 6.076 6.076
2.830 2.830 2.830
6.909 6.909 2.830
6.909 2.830 6.909
6.076 10.155 6.076
6.076 6.076 10.155
10.155 10.155 10.155
2.830 6.909 6.909
```

Results
Formation energy   -0.04 eV/atom
Space-group type   Fd-3m (227)
DOS at the Fermi energy   11.43 states/eV/cell

***

Record 4
Here is MgCd after structural relaxation from Alexandria via LeMat-Bulk. Energies are from PBE-GGA.

Structure (POSCAR):
```
MgCd
1.0
0.000 2.952 2.952
2.952 0.000 2.952
2.952 2.952 0.000
Mg Cd
1 1
Cartesian
0.000 0.000 0.000
2.952 2.952 2.952
```

Results
Formation energy   0.14 eV/atom
Space-group type   Fm-3m (225)
DOS at the Fermi energy   0.96 states/eV/cell

***

Record 5
Here is Mg4Cd after structural relaxation from Alexandria via LeMat-Bulk. Energies are from PBE-GGA.

Structure (POSCAR):
```
Mg4Cd
1.0
-1.664 1.664 10.154
1.664 -1.664 10.154
1.664 1.664 -10.154
Mg Cd
4 1
Cartesian
0.000 0.000 1.941
0.000 0.000 6.120
0.000 0.000 14.188
0.000 0.000 18.367
0.000 0.000 10.154
```

Results
Formation energy   -0.03 eV/atom
Energy relative to the lowest polymorph listed for this composition   0.015 eV/atom
Space-group type   I4/mmm (139)
DOS at the Fermi energy   2.01 states/eV/cell

***

Record 6
Here is MgCd after structural relaxation from Alexandria via LeMat-Bulk. Energies are from PBE-GGA.

Structure (POSCAR):
```
MgCd
1.0
3.063 0.000 0.000
0.000 6.470 3.629
0.000 -6.470 3.629
Mg Cd
3 3
Cartesian
0.000 0.000 0.000
0.000 -1.602 2.682
0.000 1.602 2.682
1.531 -3.832 3.843
1.531 0.000 4.767
1.531 3.832 3.843
```

Results
Formation energy   0.00 eV/atom
Space-group type   Amm2 (38)
DOS at the Fermi energy   2.13 states/eV/cell

***

Record 7
Here is MgCd5 after structural relaxation from Alexandria via LeMat-Bulk. Energies are from PBE-GGA.

Structure (POSCAR):
```
MgCd5
1.0
0.000 4.120 4.120
4.120 0.000 4.120
4.120 4.120 0.000
Mg Cd
1 5
Cartesian
0.000 0.000 0.000
5.152 3.088 3.088
2.060 2.060 2.060
3.088 5.152 3.088
3.088 3.088 5.152
5.152 5.152 5.152
```

Results
Formation energy   0.05 eV/atom
Space-group type   F-43m (216)
DOS at the Fermi energy   2.81 states/eV/cell

***

Record 8
Here is MgCd5 after structural relaxation from Alexandria via LeMat-Bulk. Energies are from PBE-GGA.

Structure (POSCAR):
```
MgCd5
1.0
4.334 0.000 0.000
0.000 2.257 6.821
0.000 -2.257 6.821
Mg Cd
1 5
Cartesian
0.000 0.000 0.000
0.000 0.000 4.566
0.000 0.000 9.088
2.167 0.000 2.266
2.167 0.000 6.830
2.167 0.000 11.387
```

Results
Formation energy   -0.04 eV/atom
Space-group type   Amm2 (38)
DOS at the Fermi energy   1.55 states/eV/cell

***

> Which value of formation energy does entry 2 give?

0.00 eV/atom